1.
# NaTcNi, relaxed, DFT PBE-GGA
data_NaTcNi
_cell_length_a 5.8466
_cell_length_b 5.8466
_cell_length_c 5.8466
_cell_angle_alpha 90.00
_cell_angle_beta 90.00
_cell_angle_gamma 90.00
_space_group_name_H-M_alt 'F -4 3 m'
_space_group_IT_number 216
_space_group_name_Hall 'F -4 2 3'
loop_
_atom_site_label
_atom_site_type_symbol
_atom_site_fract_x
_atom_site_fract_y
_atom_site_fract_z
Na1 Na 0.0000 0.0000 0.0000
Tc1 Tc 0.0000 0.0000 0.5000
Ni1 Ni 0.2500 0.2500 0.7500
# - calculated formation energy (eV per formula unit) = 3.4

=====

2.
# TiCoBRh2, relaxed, DFT PBE-GGA
data_TiCoBRh2
_cell_length_a 4.0620
_cell_length_b 4.0620
_cell_length_c 3.8390
_cell_angle_alpha 90.00
_cell_angle_beta 90.00
_cell_angle_gamma 90.00
_space_group_name_H-M_alt 'P 4/m m m'
_space_group_IT_number 123
_space_group_name_Hall '-P 4 2'
loop_
_atom_site_label
_atom_site_type_symbol
_atom_site_fract_x
_atom_site_fract_y
_atom_site_fract_z
Ti1 Ti 0.0000 0.0000 0.0000
Co1 Co 0.5000 0.5000 0.0000
B1 B 0.5000 0.5000 0.5000
Rh1 Rh 0.0000 0.5000 0.5000
# - calculated formation energy (eV per formula unit) = -2.2

=====

3.
# PaTc2PbO8, relaxed, DFT PBE-GGA
data_PaTc2PbO8
_cell_length_a 5.9580
_cell_length_b 5.9580
_cell_length_c 7.1190
_cell_angle_alpha 90.00
_cell_angle_beta 90.00
_cell_angle_gamma 120.00
_space_group_name_H-M_alt 'P -3 m 1'
_space_group_IT_number 164
_space_group_name_Hall '-P 3 2"'
loop_
_atom_site_label
_atom_site_type_symbol
_atom_site_fract_x
_atom_site_fract_y
_atom_site_fract_z
Pa1 Pa 0.0000 0.0000 0.0000
Tc1 Tc 0.3333 0.6667 0.2976
Pb1 Pb 0.0000 0.0000 0.5000
O1 O 0.1626 0.3252 0.1990
O2 O 0.3333 0.6667 0.5440
# - E_form (uncorrected) (kJ per mole of atoms) = -165

=====

4.
# Cs2ScFeI6, relaxed, DFT PBE-GGA
data_Cs2ScFeI6
_cell_length_a 11.6342
_cell_length_b 11.6342
_cell_length_c 11.6342
_cell_angle_alpha 90.00
_cell_angle_beta 90.00
_cell_angle_gamma 90.00
_space_group_name_H-M_alt 'F m -3 m'
_space_group_IT_number 225
_space_group_name_Hall '-F 4 2 3'
loop_
_atom_site_label
_atom_site_type_symbol
_atom_site_fract_x
_atom_site_fract_y
_atom_site_fract_z
Cs1 Cs 0.2500 0.2500 0.2500
Sc1 Sc 0.0000 0.0000 0.0000
Fe1 Fe 0.0000 0.0000 0.5000
I1 I 0.0000 0.0000 0.2522
# - E_form (uncorrected) (kJ per mole of atoms) = -93